(1)
# LuSc2Ni | OQMD via LeMat-Bulk | PBE | relaxed
data_LuSc2Ni
_chemical_formula_sum 'Lu4 Sc8 Ni4'
_cell_length_a 6.925
_cell_length_b 6.925
_cell_length_c 6.925
_cell_angle_alpha 90.00
_cell_angle_beta 90.00
_cell_angle_gamma 90.00
_space_group_name_H-M_alt 'F -4 3 m'
_space_group_IT_number 216
_space_group_name_Hall 'F -4 2 3'
loop_
_atom_site_label
_atom_site_type_symbol
_atom_site_fract_x
_atom_site_fract_y
_atom_site_fract_z
Lu1 Lu 0.000 0.000 0.000
Sc1 Sc 0.000 0.000 0.500
Sc2 Sc 0.250 0.250 0.250
Ni1 Ni 0.250 0.250 0.750
# energy relative to the elements = 50 meV/atom
# V = 20.8 A^3/atom

***

(2)
# LuScSiNi | OQMD via LeMat-Bulk | PBE | relaxed
data_LuScSiNi
_chemical_formula_sum 'Lu4 Sc4 Si4 Ni4'
_cell_length_a 6.526
_cell_length_b 6.526
_cell_length_c 6.526
_cell_angle_alpha 90.00
_cell_angle_beta 90.00
_cell_angle_gamma 90.00
_space_group_name_H-M_alt 'F -4 3 m'
_space_group_IT_number 216
_space_group_name_Hall 'F -4 2 3'
loop_
_atom_site_label
_atom_site_type_symbol
_atom_site_fract_x
_atom_site_fract_y
_atom_site_fract_z
Lu1 Lu 0.000 0.000 0.000
Sc1 Sc 0.250 0.250 0.750
Si1 Si 0.250 0.250 0.250
Ni1 Ni 0.000 0.000 0.500
# V = 17.4 A^3/atom
# energy relative to the lowest polymorph listed for this composition = 66 meV/atom

***

Repeat the second record exactly.
# LuScSiNi | OQMD via LeMat-Bulk | PBE | relaxed
data_LuScSiNi
_chemical_formula_sum 'Lu4 Sc4 Si4 Ni4'
_cell_length_a 6.526
_cell_length_b 6.526
_cell_length_c 6.526
_cell_angle_alpha 90.00
_cell_angle_beta 90.00
_cell_angle_gamma 90.00
_space_group_name_H-M_alt 'F -4 3 m'
_space_group_IT_number 216
_space_group_name_Hall 'F -4 2 3'
loop_
_atom_site_label
_atom_site_type_symbol
_atom_site_fract_x
_atom_site_fract_y
_atom_site_fract_z
Lu1 Lu 0.000 0.000 0.000
Sc1 Sc 0.250 0.250 0.750
Si1 Si 0.250 0.250 0.250
Ni1 Ni 0.000 0.000 0.500
# V = 17.4 A^3/atom
# energy relative to the lowest polymorph listed for this composition = 66 meV/atom

***

What is the formula in the second record? LuScSiNi

***

What is the V in the first record? 20.8 A^3/atom

***

Number 2 is which compound? LuScSiNi